Record 1
The following is a DFT calculation (GGA-PBE) of a relaxed structure of GaReAg2.

Cell and atoms, written as POSCAR:
```
GaReAg2
1.0
0.000 3.198 3.198
3.198 0.000 3.198
3.198 3.198 0.000
Ga Re Ag
1 1 2
direct
0.000 0.000 0.000 Ga
0.250 0.250 0.250 Re
0.500 0.500 0.500 Ag
0.750 0.750 0.750 Ag
```

Results
M_tot, μB/atom: 0.32
Energy, eV per atom: -4.68

---

Record 2
The following is a DFT calculation (GGA-PBE) of a relaxed structure of GaReAg.

Cell and atoms, written as POSCAR:
```
GaReAg
1.0
0.000 3.080 3.080
3.080 0.000 3.080
3.080 3.080 0.000
Ga Re Ag
1 1 1
direct
0.000 0.000 0.000 Ga
0.750 0.750 0.750 Re
0.500 0.500 0.500 Ag
```

Results
M_tot, μB/atom: 0.65
Energy, eV per atom: -5.10

---

Record 3
The following is a DFT calculation (GGA-PBE) of a relaxed structure of GaRe2Ag.

Cell and atoms, written as POSCAR:
```
GaRe2Ag
1.0
0.000 3.136 3.136
3.136 0.000 3.136
3.136 3.136 0.000
Ga Re Ag
1 2 1
direct
0.000 0.000 0.000 Ga
0.500 0.500 0.500 Re
0.750 0.750 0.750 Re
0.250 0.250 0.250 Ag
```

Results
M_tot, μB/atom: 0.00
Energy, eV per atom: -7.19

---

Record 4
The following is a DFT calculation (GGA-PBE) of a relaxed structure of GaReAg2S6.

Cell and atoms, written as POSCAR:
```
GaReAg2S6
1.0
0.000 4.706 4.706
4.706 0.000 4.706
4.706 4.706 0.000
Ga Re Ag S
1 1 2 6
direct
0.000 0.000 0.000 Ga
0.500 0.500 0.500 Re
0.250 0.250 0.250 Ag
0.750 0.750 0.750 Ag
0.252 0.252 0.748 S
0.252 0.748 0.252 S
0.252 0.748 0.748 S
0.748 0.252 0.252 S
0.748 0.252 0.748 S
0.748 0.748 0.252 S
```

Results
M_tot, μB/atom: 0.00
Energy, eV per atom: -4.21

---

Record 5
The following is a DFT calculation (GGA-PBE) of a relaxed structure of GaAgS2.

Cell and atoms, written as POSCAR:
```
GaAgS2
1.0
-2.890 2.890 5.287
2.890 -2.890 5.287
2.890 2.890 -5.287
Ga Ag S
2 2 4
direct
0.000 0.000 0.000 Ga
0.750 0.250 0.500 Ga
0.250 0.750 0.500 Ag
0.500 0.500 0.000 Ag
0.087 0.625 0.962 S
0.375 0.337 0.462 S
0.663 0.125 0.038 S
0.875 0.913 0.538 S
```

Results
Energy, eV per atom: -4.04

---

Record 6
The following is a DFT calculation (GGA-PBE) of a relaxed structure of GaAg2S3.

Cell and atoms, written as POSCAR:
```
GaAg2S3
1.0
3.446 -6.092 0.000
3.446 6.092 0.000
-2.086 0.000 6.416
Ga Ag S
2 4 6
direct
0.080 0.920 0.500 Ga
0.920 0.080 0.000 Ga
0.256 0.762 0.012 Ag
0.431 0.603 0.512 Ag
0.603 0.431 0.012 Ag
0.762 0.256 0.512 Ag
0.051 0.196 0.365 S
0.196 0.051 0.865 S
0.363 0.891 0.399 S
0.567 0.736 0.897 S
0.736 0.567 0.397 S
0.891 0.363 0.899 S
```

Results
Energy, eV per atom: -3.80

---

Record 7
The following is a DFT calculation (GGA-PBE) of a relaxed structure of GaAgTeS.

Cell and atoms, written as POSCAR:
```
GaAgTeS
1.0
4.317 -4.322 0.000
4.317 4.322 0.000
-4.090 0.000 5.664
Ga Ag Te S
2 2 2 2
direct
0.109 0.891 0.500 Ga
0.891 0.109 0.000 Ga
0.393 0.682 0.998 Ag
0.682 0.393 0.498 Ag
0.242 0.511 0.249 Te
0.511 0.242 0.749 Te
0.009 0.795 0.750 S
0.795 0.009 0.250 S
```

Results
Energy, eV per atom: -3.66

---

Record 8
The following is a DFT calculation (GGA-PBE) of a relaxed structure of GaAgTeS.

Cell and atoms, written as POSCAR:
```
GaAgTeS
1.0
-2.974 3.144 5.652
2.974 -3.144 5.652
2.974 3.144 -5.652
Ga Ag Te S
2 2 2 2
direct
0.135 0.385 0.750 Ga
0.365 0.115 0.250 Ga
0.653 0.903 0.750 Ag
0.847 0.597 0.250 Ag
0.250 0.494 0.244 Te
0.750 0.006 0.256 Te
0.048 0.750 0.798 S
0.452 0.250 0.702 S
```

Results
Energy, eV per atom: -3.65

---

Record 9
The following is a DFT calculation (GGA-PBE) of a relaxed structure of Ga2Ag2Te3S.

Cell and atoms, written as POSCAR:
```
Ga2Ag2Te3S
1.0
6.569 -3.165 0.000
6.569 3.165 0.000
-2.797 0.000 5.544
Ga Ag Te S
2 2 3 1
direct
0.120 0.120 0.387 Ga
0.880 0.880 0.613 Ga
0.349 0.426 0.157 Ag
0.574 0.651 0.843 Ag
0.488 0.013 0.263 Te
0.762 0.238 0.000 Te
0.987 0.512 0.737 Te
0.200 0.800 0.500 S
```

Results
Energy, eV per atom: -3.48

---

Record 10
The following is a DFT calculation (GGA-PBE) of a relaxed structure of GaAgSb.

Cell and atoms, written as POSCAR:
```
GaAgSb
1.0
0.000 3.372 3.372
3.372 0.000 3.372
3.372 3.372 0.000
Ga Ag Sb
1 1 1
direct
0.000 0.000 0.000 Ga
0.500 0.500 0.500 Ag
0.750 0.750 0.750 Sb
```

Results
Energy, eV per atom: -3.19

---

Record 11
The following is a DFT calculation (GGA-PBE) of a relaxed structure of GaAgSb2.

Cell and atoms, written as POSCAR:
```
GaAgSb2
1.0
0.000 3.626 3.626
3.626 0.000 3.626
3.626 3.626 0.000
Ga Ag Sb
1 1 2
direct
0.000 0.000 0.000 Ga
0.250 0.250 0.250 Ag
0.500 0.500 0.500 Sb
0.750 0.750 0.750 Sb
```

Results
Energy, eV per atom: -3.31

---

Record 12
The following is a DFT calculation (GGA-PBE) of a relaxed structure of Sc2GaAg.

Cell and atoms, written as POSCAR:
```
Sc2GaAg
1.0
3.333 0.000 0.000
0.000 3.333 0.000
0.000 0.000 7.031
Sc Ga Ag
2 1 1
direct
0.000 0.000 0.244 Sc
0.000 0.000 0.756 Sc
0.500 0.500 0.000 Ga
0.500 0.500 0.500 Ag
```

Results
M_tot, μB/atom: 0.00
Energy, eV per atom: -5.09

---

Record 13
The following is a DFT calculation (GGA-PBE) of a relaxed structure of Sc2GaAg.

Cell and atoms, written as POSCAR:
```
Sc2GaAg
1.0
4.537 0.000 0.000
-2.268 3.929 0.000
0.000 0.000 10.099
Sc Ga Ag
4 2 2
direct
0.333 0.667 0.105 Sc
0.333 0.667 0.395 Sc
0.667 0.333 0.605 Sc
0.667 0.333 0.895 Sc
0.333 0.667 0.750 Ga
0.667 0.333 0.250 Ga
0.000 0.000 0.000 Ag
0.000 0.000 0.500 Ag
```

Results
M_tot, μB/atom: 0.00
Energy, eV per atom: -4.63

---

Record 14
The following is a DFT calculation (GGA-PBE) of a relaxed structure of Sc2GaAg.

Cell and atoms, written as POSCAR:
```
Sc2GaAg
1.0
4.503 0.000 0.000
-2.251 3.900 0.000
0.000 0.000 9.521
Sc Ga Ag
4 2 2
direct
0.333 0.667 0.095 Sc
0.333 0.667 0.405 Sc
0.667 0.333 0.595 Sc
0.667 0.333 0.905 Sc
0.000 0.000 0.250 Ga
0.000 0.000 0.750 Ga
0.333 0.667 0.750 Ag
0.667 0.333 0.250 Ag
```

Results
M_tot, μB/atom: 0.02
Energy, eV per atom: -4.80

---

Record 15
The following is a DFT calculation (GGA-PBE) of a relaxed structure of Sc2GaAg.

Cell and atoms, written as POSCAR:
```
Sc2GaAg
1.0
-3.391 3.415 3.407
3.391 -3.415 3.407
3.391 3.415 -3.407
Sc Ga Ag
4 2 2
direct
0.000 0.250 0.250 Sc
0.000 0.750 0.750 Sc
0.500 0.250 0.750 Sc
0.500 0.750 0.250 Sc
0.500 0.250 0.250 Ga
0.500 0.750 0.750 Ga
0.001 0.251 0.750 Ag
0.999 0.749 0.250 Ag
```

Results
M_tot, μB/atom: 0.00
Energy, eV per atom: -5.09

---

Record 16
The following is a DFT calculation (GGA-PBE) of a relaxed structure of Sc2GaAg.

Cell and atoms, written as POSCAR:
```
Sc2GaAg
1.0
0.000 3.391 3.391
3.391 0.000 3.391
3.391 3.391 0.000
Sc Ga Ag
2 1 1
direct
0.000 0.000 0.000 Sc
0.250 0.250 0.250 Sc
0.500 0.500 0.500 Ga
0.750 0.750 0.750 Ag
```

Results
M_tot, μB/atom: 0.45
Energy, eV per atom: -4.74

---

Record 17
The following is a DFT calculation (GGA-PBE) of a relaxed structure of Sc2GaAg.

Cell and atoms, written as POSCAR:
```
Sc2GaAg
1.0
4.535 0.000 0.000
-2.267 3.927 0.000
0.000 0.000 9.919
Sc Ga Ag
4 2 2
direct
0.333 0.667 0.094 Sc
0.333 0.667 0.406 Sc
0.667 0.333 0.594 Sc
0.667 0.333 0.906 Sc
0.000 0.000 0.000 Ga
0.000 0.000 0.500 Ga
0.333 0.667 0.750 Ag
0.667 0.333 0.250 Ag
```

Results
M_tot, μB/atom: 0.00
Energy, eV per atom: -4.74

---

Record 18
The following is a DFT calculation (GGA-PBE) of a relaxed structure of GaAg2Se3.

Cell and atoms, written as POSCAR:
```
GaAg2Se3
1.0
3.646 -6.363 0.000
3.646 6.363 0.000
-2.312 0.000 6.764
Ga Ag Se
2 4 6
direct
0.081 0.919 0.500 Ga
0.919 0.081 0.000 Ga
0.239 0.746 0.990 Ag
0.403 0.571 0.490 Ag
0.571 0.403 0.990 Ag
0.746 0.239 0.490 Ag
0.113 0.632 0.605 Se
0.267 0.438 0.106 Se
0.438 0.267 0.606 Se
0.632 0.113 0.105 Se
0.800 0.948 0.631 Se
0.948 0.800 0.131 Se
```

Results
Energy, eV per atom: -3.48

---

Record 19
The following is a DFT calculation (GGA-PBE) of a relaxed structure of GaAg9Se6.

Cell and atoms, written as POSCAR:
```
GaAg9Se6
1.0
11.320 0.000 0.000
0.000 11.320 0.000
0.000 0.000 11.320
Ga Ag Se
4 36 24
direct
0.009 0.009 0.009 Ga
0.491 0.991 0.509 Ga
0.509 0.491 0.991 Ga
0.991 0.509 0.491 Ga
0.031 0.774 0.269 Ag
0.040 0.132 0.671 Ag
0.069 0.865 0.677 Ag
0.132 0.671 0.040 Ag
0.135 0.177 0.431 Ag
0.171 0.460 0.868 Ag
0.177 0.431 0.135 Ag
0.226 0.769 0.469 Ag
0.231 0.969 0.274 Ag
0.269 0.031 0.774 Ag
0.274 0.231 0.969 Ag
0.323 0.569 0.635 Ag
0.329 0.540 0.368 Ag
0.365 0.823 0.931 Ag
0.368 0.329 0.540 Ag
0.431 0.135 0.177 Ag
0.460 0.868 0.171 Ag
0.469 0.226 0.769 Ag
0.531 0.726 0.731 Ag
0.540 0.368 0.329 Ag
0.569 0.635 0.323 Ag
0.632 0.829 0.960 Ag
0.635 0.323 0.569 Ag
0.671 0.040 0.132 Ag
0.677 0.069 0.865 Ag
0.726 0.731 0.531 Ag
0.731 0.531 0.726 Ag
0.769 0.469 0.226 Ag
0.774 0.269 0.031 Ag
0.823 0.931 0.365 Ag
0.829 0.960 0.632 Ag
0.865 0.677 0.069 Ag
0.868 0.171 0.460 Ag
0.931 0.365 0.823 Ag
0.960 0.632 0.829 Ag
0.969 0.274 0.231 Ag
0.023 0.977 0.477 Se
0.100 0.628 0.634 Se
0.128 0.866 0.900 Se
0.132 0.132 0.132 Se
0.134 0.400 0.372 Se
0.237 0.263 0.737 Se
0.263 0.737 0.237 Se
0.366 0.600 0.872 Se
0.368 0.868 0.632 Se
0.372 0.134 0.400 Se
0.400 0.372 0.134 Se
0.477 0.023 0.977 Se
0.523 0.523 0.523 Se
0.600 0.872 0.366 Se
0.628 0.634 0.100 Se
0.632 0.368 0.868 Se
0.634 0.100 0.628 Se
0.737 0.237 0.263 Se
0.763 0.763 0.763 Se
0.866 0.900 0.128 Se
0.868 0.632 0.368 Se
0.872 0.366 0.600 Se
0.900 0.128 0.866 Se
0.977 0.477 0.023 Se
```

Results
Energy, eV per atom: -3.27

---

Record 20
The following is a DFT calculation (GGA-PBE) of a relaxed structure of Ga2Ag2Te3Se.

Cell and atoms, written as POSCAR:
```
Ga2Ag2Te3Se
1.0
6.746 -3.180 0.000
6.746 3.180 0.000
-2.850 0.000 5.616
Ga Ag Te Se
2 2 3 1
direct
0.121 0.121 0.383 Ga
0.879 0.879 0.617 Ga
0.359 0.401 0.138 Ag
0.599 0.641 0.862 Ag
0.492 0.009 0.266 Te
0.764 0.236 0.000 Te
0.991 0.508 0.734 Te
0.216 0.784 0.500 Se
```

Results
Energy, eV per atom: -3.40